(1)
Density functional theory data (PBE) for a relaxed structure of Tm6NiSe5.

POSCAR file:
```
Tm6NiSe5
1.0
6.8990 0.1805 1.0548
1.7103 5.8725 3.4248
0.1220 0.0669 6.9987
Ni Tm Se
1 6 5
direct
0.0000 0.0000 0.0000
0.7696 0.0755 0.3060
0.2304 0.6185 0.3060
0.2359 0.2275 0.0000
0.7641 0.7725 0.0000
0.7696 0.3815 0.6940
0.2304 0.9245 0.6940
0.5000 0.1789 0.6422
0.0000 0.3348 0.3305
0.5000 0.5000 0.0000
0.0000 0.6652 0.6695
0.5000 0.8211 0.3578
```

Summary:
Calculated volume (Å³ per atom): 23.27
Fermi-level density of states (states/eV per cell): 4.4
ΔE_f (raw) (eV/atom): -1.52
Total magnetization (μB per formula unit): 0.000

***

(2)
Density functional theory data (PBE) for a relaxed structure of CuC.

POSCAR file:
```
CuC
1.0
5.4758 0.0000 0.0000
0.0000 5.4758 0.0000
0.0000 0.0000 5.4758
Cu C
6 6
direct
0.2500 0.0000 0.5000
0.7500 0.0000 0.5000
0.0000 0.5000 0.2500
0.0000 0.5000 0.7500
0.5000 0.2500 0.0000
0.5000 0.7500 0.0000
0.2500 0.5000 0.0000
0.7500 0.5000 0.0000
0.5000 0.0000 0.2500
0.5000 0.0000 0.7500
0.0000 0.2500 0.5000
0.0000 0.7500 0.5000
```

Summary:
Calculated volume (Å³ per atom): 13.68
Fermi-level density of states (states/eV per cell): 11.1
Relative energy among the computed polymorphs (meV/atom): 1525.5
Total magnetization (μB per formula unit): 0.000

***

(3)
Density functional theory data (PBE) for a relaxed structure of BaNaSCl2.

POSCAR file:
```
BaNaSCl2
1.0
-0.6172 -3.6657 3.4743
3.5950 -2.7772 -2.2916
3.7316 2.2899 3.0789
Na S Ba Cl
1 1 1 2
direct
0.0000 0.0000 0.0000
0.0000 0.0000 0.5000
0.5000 0.5000 0.5000
0.0000 0.5000 0.0000
0.5000 0.0000 0.0000
```

Summary:
Calculated volume (Å³ per atom): 27.71
Fermi-level density of states (states/eV per cell): 2.4
ΔE_f (raw) (eV/atom): -1.45
Relative energy among the computed polymorphs (meV/atom): 0.0
Total magnetization (μB per formula unit): 1.013

***

(4)
Density functional theory data (PBE) for a relaxed structure of NiGe2Pt2.

POSCAR file:
```
NiGe2Pt2
1.0
7.0133 0.0000 0.0000
0.0000 7.0133 0.0000
0.0000 0.0000 3.2379
Ni Ge Pt
2 4 4
direct
0.0000 0.0000 0.0000
0.5000 0.5000 0.0000
0.1619 0.6619 0.5000
0.6619 0.8381 0.5000
0.8381 0.3381 0.5000
0.3381 0.1619 0.5000
0.3563 0.8563 0.0000
0.8563 0.6437 0.0000
0.6437 0.1437 0.0000
0.1437 0.3563 0.0000
```

Summary:
Calculated volume (Å³ per atom): 15.93
Fermi-level density of states (states/eV per cell): 4.5
Relative energy among the computed polymorphs (meV/atom): 30.8
Total magnetization (μB per formula unit): 0.095

***

(5)
Density functional theory data (PBE) for a relaxed structure of BaMgRhPb2.

POSCAR file:
```
BaMgRhPb2
1.0
-2.1533 3.8842 3.0416
-1.9204 -3.7169 3.3870
4.3175 0.2563 2.7293
Pb Mg Rh Ba
2 1 1 1
direct
0.0000 0.5000 0.0000
0.5000 0.0000 0.0000
0.0000 0.0000 0.5000
0.0000 0.0000 0.0000
0.5000 0.5000 0.5000
```

Summary:
Calculated volume (Å³ per atom): 29.64
Fermi-level density of states (states/eV per cell): 3.7
Total energy (eV/atom): -3.9246
Total magnetization (μB per formula unit): 0.000

***

(6)
Density functional theory data (PBE) for a relaxed structure of TlV2Br2.

POSCAR file:
```
TlV2Br2
1.0
-8.1930 -2.3491 -1.4001
1.5131 -0.2107 -8.5012
0.8787 -3.2054 0.2359
Tl Br V
2 4 4
direct
0.0000 0.0000 0.0000
0.5000 0.5000 0.0000
0.3635 0.8635 0.0000
0.8635 0.6365 0.0000
0.6365 0.1365 0.0000
0.1365 0.3635 0.0000
0.1999 0.6999 0.5000
0.6999 0.8001 0.5000
0.8001 0.3001 0.5000
0.3001 0.1999 0.5000
```

Summary:
Calculated volume (Å³ per atom): 24.86
Fermi-level density of states (states/eV per cell): 13.3
ΔE_f (raw) (eV/atom): 0.45
Relative energy among the computed polymorphs (meV/atom): 454.1
Total magnetization (μB per formula unit): 7.661